Record 1
! PBEsol Li2Fe3CuO8, optimized geometry; values from VASP
! * raw formation energy: -1835.7 kJ/mol of formula units
&SYSTEM
  ibrav = 0, nat = 14, ntyp = 4
/
ATOMIC_SPECIES
Li 6.94 Li.upf
Fe 55.84 Fe.upf
Cu 63.55 Cu.upf
O 16.00 O.upf
CELL_PARAMETERS angstrom
2.7894 1.6105 4.7855
-2.7894 1.6105 4.7855
0.0000 -3.2209 4.7855
ATOMIC_POSITIONS crystal
Li 0.0000 0.0000 0.0000
Li 0.3741 0.3741 0.3741
Fe 0.4993 0.9941 0.9941
Fe 0.9941 0.4993 0.9941
Fe 0.9941 0.9941 0.4993
Cu 0.6198 0.6198 0.6198
O 0.2076 0.7507 0.7507
O 0.2328 0.2328 0.2328
O 0.2487 0.2487 0.7866
O 0.2487 0.7866 0.2487
O 0.7507 0.2076 0.7507
O 0.7507 0.7507 0.2076
O 0.7550 0.7550 0.7550
O 0.7866 0.2487 0.2487

***

Record 2
! PBEsol Li6Fe5CuO12, optimized geometry; values from VASP
! * raw formation energy: -3503.2 kJ/mol of formula units
&SYSTEM
  ibrav = 0, nat = 24, ntyp = 4
/
ATOMIC_SPECIES
Li 6.94 Li.upf
Fe 55.84 Fe.upf
Cu 63.55 Cu.upf
O 16.00 O.upf
CELL_PARAMETERS angstrom
2.4244 -4.2090 0.0000
2.4244 4.2090 0.0000
-1.5988 0.0000 9.5565
ATOMIC_POSITIONS crystal
Li 0.0789 0.7516 0.7403
Li 0.2484 0.9211 0.2597
Li 0.4055 0.4055 0.7401
Li 0.5945 0.5945 0.2599
Li 0.7516 0.0789 0.7403
Li 0.9211 0.2484 0.2597
Fe 0.1660 0.8340 0.0000
Fe 0.3331 0.6669 0.5000
Fe 0.5000 0.5000 0.0000
Fe 0.6669 0.3331 0.5000
Fe 0.8340 0.1660 0.0000
Cu 0.0000 0.0000 0.5000
O 0.0372 0.3911 0.6134
O 0.1305 0.1305 0.8892
O 0.2027 0.5369 0.1082
O 0.3165 0.3165 0.3868
O 0.3911 0.0372 0.6134
O 0.4631 0.7973 0.8918
O 0.5369 0.2027 0.1082
O 0.6089 0.9628 0.3866
O 0.6835 0.6835 0.6132
O 0.7973 0.4631 0.8918
O 0.8695 0.8695 0.1108
O 0.9628 0.6089 0.3866

***

Record 3
! PBEsol Li4FeCu3P4O16, optimized geometry; values from VASP
! * raw formation energy: -5015.5 kJ/mol of formula units
&SYSTEM
  ibrav = 0, nat = 28, ntyp = 5
/
ATOMIC_SPECIES
Li 6.94 Li.upf
Fe 55.84 Fe.upf
Cu 63.55 Cu.upf
P 30.97 P.upf
O 16.00 O.upf
CELL_PARAMETERS angstrom
4.6941 0.0000 0.0000
0.0000 5.9861 0.0000
-0.1418 0.0000 9.9561
ATOMIC_POSITIONS crystal
Li 0.0000 0.2458 0.0000
Li 0.0000 0.7542 0.0000
Li 0.4926 0.2467 0.5158
Li 0.4926 0.7533 0.5158
Fe 0.4776 0.5000 0.2278
Cu 0.0293 0.5000 0.7272
Cu 0.5184 0.0000 0.7899
Cu 0.9479 0.0000 0.2914
P 0.0678 0.0000 0.6029
P 0.4229 0.0000 0.1053
P 0.5759 0.5000 0.9117
P 0.9126 0.5000 0.4143
O 0.1841 0.0000 0.4570
O 0.2092 0.2054 0.6742
O 0.2092 0.7946 0.6742
O 0.2384 0.5000 0.4076
O 0.2483 0.5000 0.9102
O 0.2922 0.0000 0.9616
O 0.2949 0.2104 0.1761
O 0.2949 0.7896 0.1761
O 0.6986 0.5000 0.0593
O 0.7115 0.2929 0.8432
O 0.7115 0.7071 0.8432
O 0.7409 0.0000 0.6050
O 0.7506 0.0000 0.1080
O 0.7673 0.2987 0.3395
O 0.7673 0.7013 0.3395
O 0.7953 0.5000 0.5585

***

Record 4
! PBEsol Li4Fe3CuP4O16, optimized geometry; values from VASP
! * raw formation energy: -5184.4 kJ/mol of formula units
&SYSTEM
  ibrav = 0, nat = 28, ntyp = 5
/
ATOMIC_SPECIES
Li 6.94 Li.upf
Fe 55.84 Fe.upf
Cu 63.55 Cu.upf
P 30.97 P.upf
O 16.00 O.upf
CELL_PARAMETERS angstrom
4.6866 0.0000 0.0000
0.0000 5.9690 0.0000
-0.0625 0.0000 10.1331
ATOMIC_POSITIONS crystal
Li 0.0000 0.2451 0.0000
Li 0.0000 0.7549 0.0000
Li 0.5054 0.2467 0.5158
Li 0.5054 0.7533 0.5158
Fe 0.0225 0.0000 0.2897
Fe 0.5247 0.5000 0.2285
Fe 0.9854 0.5000 0.7277
Cu 0.4630 0.0000 0.7918
P 0.0833 0.5000 0.4132
P 0.4193 0.5000 0.9125
P 0.5784 0.0000 0.1043
P 0.9332 0.0000 0.6028
O 0.2157 0.5000 0.5536
O 0.2166 0.2943 0.3394
O 0.2166 0.7057 0.3394
O 0.2512 0.0000 0.1067
O 0.2598 0.0000 0.5998
O 0.2772 0.2967 0.8410
O 0.2772 0.7033 0.8410
O 0.3006 0.5000 0.0557
O 0.7053 0.0000 0.9646
O 0.7136 0.2056 0.1792
O 0.7136 0.7944 0.1792
O 0.7465 0.5000 0.9098
O 0.7566 0.5000 0.4121
O 0.7993 0.0000 0.4610
O 0.8052 0.2109 0.6718
O 0.8052 0.7891 0.6718

***

Record 5
! PBEsol Li2FeCuP2O8, optimized geometry; values from VASP
! * raw formation energy: -2569.8 kJ/mol of formula units
&SYSTEM
  ibrav = 0, nat = 28, ntyp = 5
/
ATOMIC_SPECIES
Li 6.94 Li.upf
Fe 55.84 Fe.upf
Cu 63.55 Cu.upf
P 30.97 P.upf
O 16.00 O.upf
CELL_PARAMETERS angstrom
4.6914 0.0000 0.0000
0.0000 5.9946 0.0000
-0.1887 0.0000 10.0184
ATOMIC_POSITIONS crystal
Li 0.0000 0.0000 0.0000
Li 0.0000 0.5000 0.0000
Li 0.5000 0.0000 0.5000
Li 0.5000 0.5000 0.5000
Fe 0.0181 0.2500 0.2811
Fe 0.9819 0.7500 0.7189
Cu 0.4514 0.2500 0.7823
Cu 0.5486 0.7500 0.2177
P 0.0748 0.7500 0.4043
P 0.4185 0.7500 0.9053
P 0.5815 0.2500 0.0947
P 0.9252 0.2500 0.5957
O 0.2011 0.5395 0.3352
O 0.2011 0.9605 0.3352
O 0.2096 0.7500 0.5480
O 0.2524 0.2500 0.5952
O 0.2549 0.2500 0.1005
O 0.2732 0.5484 0.8313
O 0.2732 0.9516 0.8313
O 0.3051 0.7500 0.0491
O 0.6949 0.2500 0.9509
O 0.7268 0.0484 0.1687
O 0.7268 0.4516 0.1687
O 0.7451 0.7500 0.8995
O 0.7476 0.7500 0.4048
O 0.7904 0.2500 0.4520
O 0.7989 0.0395 0.6648
O 0.7989 0.4605 0.6648

***

Record 6
! PBEsol Li4Ti3Fe2Cu3O16, optimized geometry; values from VASP
! * raw formation energy: -4856.2 kJ/mol of formula units
&SYSTEM
  ibrav = 0, nat = 28, ntyp = 5
/
ATOMIC_SPECIES
Li 6.94 Li.upf
Ti 47.87 Ti.upf
Fe 55.84 Fe.upf
Cu 63.55 Cu.upf
O 16.00 O.upf
CELL_PARAMETERS angstrom
5.0723 -2.8745 0.0000
5.0723 2.8745 0.0000
-0.5150 0.0000 9.3166
ATOMIC_POSITIONS crystal
Li 0.0000 0.0000 0.0000
Li 0.0296 0.0296 0.5123
Li 0.3659 0.3659 0.4200
Li 0.6839 0.6839 0.9166
Ti 0.2006 0.2006 0.7428
Ti 0.3662 0.8648 0.2340
Ti 0.8648 0.3662 0.2340
Fe 0.3650 0.3650 0.9996
Fe 0.6998 0.6998 0.5091
Cu 0.1950 0.6854 0.7206
Cu 0.6854 0.1950 0.7206
Cu 0.8522 0.8522 0.2237
O 0.0221 0.0221 0.3211
O 0.0226 0.0226 0.8092
O 0.0605 0.4863 0.8817
O 0.1946 0.1946 0.1279
O 0.2104 0.6757 0.1113
O 0.3559 0.3559 0.6266
O 0.3929 0.8703 0.6110
O 0.4863 0.0605 0.8817
O 0.4932 0.4932 0.8731
O 0.5364 0.9841 0.3712
O 0.5506 0.5506 0.3632
O 0.6757 0.2104 0.1113
O 0.6814 0.6814 0.1196
O 0.8593 0.8593 0.5981
O 0.8703 0.3929 0.6110
O 0.9841 0.5364 0.3712

***

Record 7
! PBEsol Li4Ti2Fe3Cu3O16, optimized geometry; values from VASP
! * raw formation energy: -4405.5 kJ/mol of formula units
&SYSTEM
  ibrav = 0, nat = 28, ntyp = 5
/
ATOMIC_SPECIES
Li 6.94 Li.upf
Ti 47.87 Ti.upf
Fe 55.84 Fe.upf
Cu 63.55 Cu.upf
O 16.00 O.upf
CELL_PARAMETERS angstrom
5.1976 -2.7778 0.0000
5.1976 2.7778 0.0000
-0.5734 0.0000 9.2490
ATOMIC_POSITIONS crystal
Li 0.0000 0.0000 0.0000
Li 0.0221 0.0221 0.5094
Li 0.3688 0.3688 0.6094
Li 0.6761 0.6761 0.1075
Ti 0.3348 0.3348 0.0050
Ti 0.6928 0.6928 0.5084
Fe 0.1890 0.6662 0.2865
Fe 0.6662 0.1890 0.2865
Fe 0.8379 0.8379 0.7786
Cu 0.1800 0.1800 0.2855
Cu 0.3472 0.8460 0.7876
Cu 0.8460 0.3472 0.7876
O 0.0528 0.4972 0.1751
O 0.1437 0.6533 0.9062
O 0.1621 0.1621 0.9159
O 0.3437 0.8424 0.3932
O 0.3717 0.3717 0.4035
O 0.4886 0.4886 0.1605
O 0.4972 0.0528 0.1751
O 0.5484 0.5484 0.6537
O 0.5545 0.9927 0.6425
O 0.6533 0.1437 0.9062
O 0.6918 0.6918 0.8776
O 0.8424 0.3437 0.3932
O 0.8595 0.8595 0.3951
O 0.9865 0.9865 0.1896
O 0.9927 0.5545 0.6425
O 0.9969 0.9969 0.7020

***

Record 8
! PBEsol Li4V2Fe3Cu3O16, optimized geometry; values from VASP
! * raw formation energy: -4146.6 kJ/mol of formula units
&SYSTEM
  ibrav = 0, nat = 28, ntyp = 5
/
ATOMIC_SPECIES
Li 6.94 Li.upf
V 50.94 V.upf
Fe 55.84 Fe.upf
Cu 63.55 Cu.upf
O 16.00 O.upf
CELL_PARAMETERS angstrom
5.0807 -2.7936 0.0000
5.0807 2.7936 0.0000
-0.6712 0.0000 9.2253
ATOMIC_POSITIONS crystal
Li 0.0000 0.0000 0.0000
Li 0.0137 0.0137 0.5044
Li 0.3589 0.3589 0.5966
Li 0.6747 0.6747 0.0952
V 0.3373 0.3373 0.9964
V 0.6823 0.6823 0.5002
Fe 0.1814 0.6592 0.2797
Fe 0.6592 0.1814 0.2797
Fe 0.8368 0.8368 0.7730
Cu 0.1753 0.1753 0.2818
Cu 0.3477 0.8430 0.7828
Cu 0.8430 0.3477 0.7828
O 0.0511 0.5004 0.1541
O 0.1560 0.6428 0.9035
O 0.1685 0.1685 0.9156
O 0.3506 0.3506 0.3891
O 0.3539 0.8238 0.4024
O 0.4852 0.4852 0.1548
O 0.5004 0.0511 0.1541
O 0.5426 0.5426 0.6443
O 0.5574 0.9797 0.6344
O 0.6428 0.1560 0.9035
O 0.6914 0.6914 0.8744
O 0.8238 0.3539 0.4024
O 0.8473 0.8473 0.3851
O 0.9797 0.5574 0.6344
O 0.9965 0.9965 0.1928
O 0.9968 0.9968 0.6976

***

Record 9
! PBEsol LiFeCu2W, optimized geometry; values from VASP
! * ΔE_f: 1.402 eV/atom
&SYSTEM
  ibrav = 0, nat = 5, ntyp = 4
/
ATOMIC_SPECIES
Li 6.94 Li.upf
Fe 55.84 Fe.upf
Cu 63.55 Cu.upf
W 183.84 W.upf
CELL_PARAMETERS angstrom
4.7294 0.0000 0.0000
0.0000 4.7294 0.0000
0.0000 0.0000 4.3699
ATOMIC_POSITIONS crystal
Li 0.0000 0.0000 0.0000
Fe 0.5000 0.5000 0.0000
Cu 0.0000 0.5000 0.5000
Cu 0.5000 0.0000 0.5000
W 0.5000 0.5000 0.5000

***

Record 10
! PBEsol MgFeCu, optimized geometry; values from VASP
! * ΔE_f: 0.716 eV/atom
&SYSTEM
  ibrav = 0, nat = 3, ntyp = 3
/
ATOMIC_SPECIES
Mg 24.30 Mg.upf
Fe 55.84 Fe.upf
Cu 63.55 Cu.upf
CELL_PARAMETERS angstrom
0.0000 2.8901 2.8901
2.8901 0.0000 2.8901
2.8901 2.8901 0.0000
ATOMIC_POSITIONS crystal
Mg 0.0000 0.0000 0.0000
Fe 0.2500 0.2500 0.2500
Cu 0.5000 0.5000 0.5000

***

Record 11
! PBEsol MgFeCu2, optimized geometry; values from VASP
! * ΔE_f: 0.251 eV/atom
&SYSTEM
  ibrav = 0, nat = 4, ntyp = 3
/
ATOMIC_SPECIES
Mg 24.30 Mg.upf
Fe 55.84 Fe.upf
Cu 63.55 Cu.upf
CELL_PARAMETERS angstrom
1.3246 0.7647 8.5053
-1.3246 0.7647 8.5053
0.0000 -1.5295 8.5053
ATOMIC_POSITIONS crystal
Mg 0.0000 0.0000 0.0000
Fe 0.5000 0.5000 0.5000
Cu 0.2459 0.2459 0.2459
Cu 0.7541 0.7541 0.7541

***

Record 12
! PBEsol Mg14FeCuO16, optimized geometry; values from VASP
! * raw formation energy: -7648.2 kJ/mol of formula units
&SYSTEM
  ibrav = 0, nat = 32, ntyp = 4
/
ATOMIC_SPECIES
Mg 24.30 Mg.upf
Fe 55.84 Fe.upf
Cu 63.55 Cu.upf
O 16.00 O.upf
CELL_PARAMETERS angstrom
8.4665 0.0000 0.0000
0.0000 8.4665 0.0000
0.0000 0.0000 4.2013
ATOMIC_POSITIONS crystal
Mg 0.0000 0.2479 0.0000
Mg 0.0000 0.5000 0.5000
Mg 0.0000 0.7521 0.0000
Mg 0.2466 0.2466 0.5000
Mg 0.2466 0.7534 0.5000
Mg 0.2479 0.0000 0.0000
Mg 0.2483 0.5000 0.0000
Mg 0.5000 0.0000 0.5000
Mg 0.5000 0.2483 0.0000
Mg 0.5000 0.7517 0.0000
Mg 0.7521 0.0000 0.0000
Mg 0.7517 0.5000 0.0000
Mg 0.7534 0.2466 0.5000
Mg 0.7534 0.7534 0.5000
Fe 0.5000 0.5000 0.5000
Cu 0.0000 0.0000 0.5000
O 0.0000 0.0000 0.0000
O 0.0000 0.2594 0.5000
O 0.0000 0.5000 0.0000
O 0.0000 0.7406 0.5000
O 0.2505 0.2505 0.0000
O 0.2505 0.7495 0.0000
O 0.2528 0.5000 0.5000
O 0.2594 0.0000 0.5000
O 0.5000 0.0000 0.0000
O 0.5000 0.2528 0.5000
O 0.5000 0.5000 0.0000
O 0.5000 0.7472 0.5000
O 0.7406 0.0000 0.5000
O 0.7472 0.5000 0.5000
O 0.7495 0.2505 0.0000
O 0.7495 0.7495 0.0000

***

The evaluated M_tot for the records listed, in turn: 7.06 7.00 7.02 13.00 10.00 5.26 4.82 5.12 1.57 2.59 2.61 5.00 Bohr magnetons per cell.